# 1
Crystalline ErMnCrSi2 at its relaxed geometry. Source: the Alexandria database, functional PBE.

Geometry as POSCAR:
```
ErMnCrSi2
1.0
3.907 0.000 0.000
0.000 3.907 0.000
-1.954 -1.954 5.179
Er Mn Cr Si
1 1 1 2
Cartesian
0.000 0.000 0.000
0.000 1.954 2.590
1.954 0.000 2.590
1.954 1.954 1.228
0.000 0.000 3.952
```

E_form (uncorrected) (eV per atom): -0.5103

# 2
Crystalline PmU3Tl3Se8 at its relaxed geometry. Source: the Alexandria database, functional PBE.

Geometry as POSCAR:
```
PmU3Tl3Se8
1.0
-3.703 -0.932 -7.451
7.780 -2.865 1.200
-6.848 -4.673 3.989
Pm U Tl Se
1 3 3 8
Cartesian
-3.424 -2.337 1.994
-5.276 -2.803 -1.731
-1.386 -4.235 -1.131
0.466 -3.769 2.594
0.000 0.000 0.000
3.890 -1.433 0.600
2.038 -1.899 -3.126
1.121 -3.144 -0.161
-3.892 -5.327 -2.102
-0.779 -3.579 -3.868
-1.993 -4.891 1.605
-4.569 -2.182 -4.455
1.798 -6.288 2.192
-2.763 -1.726 -0.818
-0.009 -6.745 -1.445
```

E_form (uncorrected) (eV per atom): -1.0761

# 3
Crystalline AcHgSe at its relaxed geometry. Source: the Alexandria database, functional PBE.

Geometry as POSCAR:
```
AcHgSe
1.0
-3.386 3.168 3.323
1.394 -2.808 4.099
2.937 8.121 -1.937
Hg Ac Se
2 2 2
Cartesian
0.660 -1.584 3.563
0.286 10.066 1.921
0.574 1.836 2.685
0.371 6.645 2.800
-0.199 4.185 4.556
1.144 4.297 0.928
```

E_form (uncorrected) (eV per atom): -1.1643
ΔE to the lowest computed polymorph (kJ per mole of atoms): 0.0

# 4
Crystalline Rb6AgCl5 at its relaxed geometry. Source: the Alexandria database, functional PBE.

Geometry as POSCAR:
```
Rb6AgCl5
1.0
-4.814 -5.263 -4.304
4.470 -3.504 -6.115
4.119 -7.115 1.393
Ag Rb Cl
1 6 5
Cartesian
0.000 0.000 0.000
-1.766 -6.695 -3.242
2.734 -5.807 -4.078
-0.081 -2.279 -2.712
-0.263 -6.488 -7.707
1.041 -10.075 -4.948
5.541 -9.187 -5.784
1.092 -7.981 -2.224
2.864 -3.543 -1.571
-0.172 -4.383 -5.209
5.725 -7.076 -3.151
2.683 -7.901 -6.802
```

E_form (uncorrected) (eV per atom): -1.5832

# 5
Crystalline TiGa2Au at its relaxed geometry. Source: the Alexandria database, functional PBE.

Geometry as POSCAR:
```
TiGa2Au
1.0
0.000 3.219 3.219
3.219 0.000 3.219
3.219 3.219 0.000
Au Ga Ti
1 2 1
Cartesian
3.219 3.219 3.219
1.609 1.609 1.609
4.828 4.828 4.828
0.000 0.000 0.000
```

Energy of formation (eV/atom): -0.159

# 6
Crystalline MgCr4Au at its relaxed geometry. Source: the Alexandria database, functional PBE.

Geometry as POSCAR:
```
MgCr4Au
1.0
0.344 -4.875 -0.077
-2.341 -2.561 -3.442
2.533 -2.215 -3.544
Mg Cr Au
1 4 1
Cartesian
0.134 -2.413 -1.766
-0.897 -4.921 -2.668
1.470 -4.753 -2.718
0.333 -5.997 -4.390
0.166 -3.629 -4.352
0.000 0.000 0.000
```

Energy of formation (eV/atom): 0.324

# 7
Crystalline Rb2MnW at its relaxed geometry. Source: the Alexandria database, functional PBE.

Geometry as POSCAR:
```
Rb2MnW
1.0
0.000 4.358 4.358
4.358 0.000 4.358
4.358 4.358 0.000
Mn Rb W
1 2 1
Cartesian
0.000 0.000 0.000
2.179 2.179 2.179
6.537 6.537 6.537
4.358 4.358 4.358
```

Energy of formation (eV/atom): 2.151

# 8
Crystalline Cu2WAu at its relaxed geometry. Source: the Alexandria database, functional PBE.

Geometry as POSCAR:
```
Cu2WAu
1.0
2.676 0.000 0.000
0.000 3.909 0.000
0.000 0.000 5.623
Au Cu W
1 2 1
Cartesian
1.338 1.954 4.245
0.000 0.000 0.089
1.338 1.954 1.390
0.000 0.000 2.710
```

ΔE to the lowest computed polymorph (kJ per mole of atoms): 14.2
Energy of formation (eV/atom): 0.341

# 9
Crystalline PmDyY2Er5 at its relaxed geometry. Source: the Alexandria database, functional PBE.

Geometry as POSCAR:
```
PmDyY2Er5
1.0
-4.992 -1.520 2.010
3.112 -7.738 -5.903
4.713 -4.461 8.332
Pm Dy Y Er
2 2 4 10
Cartesian
2.105 -6.437 8.142
2.655 -9.109 -0.293
0.281 -8.114 2.341
0.301 -3.475 -1.880
1.844 -10.992 4.048
3.598 -5.150 5.042
1.647 -3.352 1.557
-0.911 -8.433 -0.859
0.584 -6.725 -3.636
1.590 -8.068 5.627
4.061 -11.427 1.446
3.707 -8.236 2.980
0.574 -11.277 0.676
0.100 -4.960 4.276
1.810 -6.188 -0.185
-1.355 -2.173 2.771
-1.265 -5.115 0.770
0.145 -0.442 0.027
```

Energy of formation (eV/atom): 0.157

# 10
Crystalline Ce2SiPd2 at its relaxed geometry. Source: the Alexandria database, functional PBE.

Geometry as POSCAR:
```
Ce2SiPd2
1.0
4.235 0.000 0.000
2.118 5.255 -0.404
2.118 0.131 9.629
Ce Si Pd
4 2 4
Cartesian
4.235 1.743 3.134
6.353 1.541 8.405
4.235 3.644 6.091
2.118 3.846 0.820
4.235 0.631 6.318
4.235 4.756 2.907
2.118 1.390 5.258
6.353 4.507 8.113
6.353 3.997 3.968
2.118 0.880 1.112
```

E_form (uncorrected) (eV per atom): -0.7527